# 1
Density functional theory data (GGA-PBE) for a relaxed K2MgAgI5 crystal.

Cell: 4.555 10.743 14.836 Å, 90.00 90.00 102.24°
Positions (direct):
K 0.872 0.745 0.816
K 0.114 0.228 0.689
K 0.128 0.255 0.316
K 0.886 0.772 0.189
Mg 0.788 0.575 0.523
Mg 0.212 0.425 0.023
Ag 0.562 0.123 0.931
Ag 0.438 0.877 0.431
I 0.349 0.698 0.008
I 0.704 0.407 0.885
I 0.498 0.996 0.769
I 0.283 0.567 0.659
I 0.927 0.853 0.543
I 0.651 0.302 0.508
I 0.296 0.593 0.385
I 0.502 0.004 0.269
I 0.717 0.433 0.159
I 0.073 0.147 0.043

ΔE_f (raw) (kJ/mol of atoms): -101

=====

# 2
Density functional theory data (GGA-PBE) for a relaxed NaSr3Ac3O8 crystal.

Cell: 7.388 7.389 7.341 Å, 120.21 90.00 120.00°
Positions (direct):
Na 0.000 0.000 0.500
Sr 0.000 0.000 0.000
Sr 0.000 0.500 0.000
Sr 0.500 0.500 0.000
Ac 0.500 0.000 0.500
Ac 0.500 0.500 0.500
Ac 0.000 0.500 0.500
O 0.250 0.499 0.249
O 0.750 0.501 0.751
O 0.761 0.522 0.274
O 0.239 0.478 0.726
O 0.761 0.014 0.275
O 0.239 0.986 0.725
O 0.253 0.014 0.275
O 0.747 0.986 0.725

ΔE_f (raw) (kJ/mol of atoms): -260

=====

# 3
Density functional theory data (GGA-PBE) for a relaxed TeOsO3 crystal.

Cell: 3.963 3.963 3.963 Å, 90.00 90.00 90.00°
Positions (direct):
Te 0.500 0.500 0.500
Os 0.000 0.000 0.000
O 0.000 0.500 0.000
O 0.000 0.000 0.500
O 0.500 0.000 0.000

ΔE_f (raw) (kJ/mol of atoms): -16

=====

# 4
Density functional theory data (GGA-PBE) for a relaxed BaNiHg2As crystal.

Cell: 5.091 5.091 4.918 Å, 90.00 90.00 90.00°
Positions (direct):
Ni 0.000 0.000 0.000
As 0.000 0.000 0.500
Hg 0.000 0.500 0.000
Hg 0.500 0.000 0.000
Ba 0.500 0.500 0.500

ΔH_f (0 K) (eV per atom): -0.3284

=====

Uncorrected energy (Ry per atom)
-0.1942, -0.4840, -0.4424, -0.2146